Material: Li3Mn2CuO6
Method: DFT, PBE+U
State: optimized geometry

Properties
- polymorph energy (0 for the lowest one) (eV per formula unit) = 0.04
- V (Å³/atom) = 9.79
- space-group type = C2/m, No. 12
- total moment (μB per formula unit) = 7.51
- DOS(E_F) (states/eV per cell) = 4.141

Lattice parameters (Å, degrees): 7.520 7.520 5.720 100.32 100.32 21.67
Fractional positions:
1 Li 0.000 0.000 0.000
2 Li 0.322 0.322 0.659
3 Li 0.678 0.678 0.341
4 Mn 0.334 0.334 0.170
5 Mn 0.666 0.666 0.830
6 Cu 0.000 0.000 0.500
7 O 0.164 0.164 0.063
8 O 0.178 0.178 0.607
9 O 0.487 0.487 0.272
10 O 0.513 0.513 0.728
11 O 0.822 0.822 0.393
12 O 0.836 0.836 0.937